(1)
First-principles (GGA-PBE) data for a geometry-optimized KInTe2O6 structure, as listed in Alexandria via LeMat-Bulk.

Calculated values
The final energy is -105.37 eV for the cell shown.

a = 8.6884 Å, b = 7.9306 Å, c = 7.9306 Å
α = 105.63°, β = 67.17°, γ = 67.17°
Positions (direct):
O: 0.6016 0.3849 0.2907
O: 0.8645 0.9766 0.2139
O: 0.8984 0.7093 0.6151
O: 0.9794 0.5141 0.1777
O: 0.4794 0.1777 0.5141
O: 0.3984 0.6151 0.7093
O: 0.0206 0.4859 0.8223
O: 0.1355 0.0234 0.7861
O: 0.3645 0.2139 0.9766
O: 0.5206 0.8223 0.4859
O: 0.6355 0.7861 0.0234
O: 0.1016 0.2907 0.3849
Te: 0.1600 0.4528 0.2652
Te: 0.8400 0.5472 0.7348
Te: 0.3400 0.7348 0.5472
Te: 0.6600 0.2652 0.4528
K: 0.7500 0.0809 0.9191
K: 0.2500 0.9191 0.0809
In: 0.2500 0.2155 0.7845
In: 0.7500 0.7845 0.2155



(2)
First-principles (GGA-PBE) data for a geometry-optimized PmPrGa2 structure, as listed in Alexandria via LeMat-Bulk.

Calculated values
The final energy is -17.79 eV for the cell shown. The calculation puts the formation energy at -0.552 eV/atom.

a = 5.2295 Å, b = 5.2295 Å, c = 5.2295 Å
α = 60.00°, β = 60.00°, γ = 60.00°
Positions (direct):
Pr: 0.5000 0.5000 0.5000
Ga: 0.7500 0.7500 0.7500
Ga: 0.2500 0.2500 0.2500
Pm: 0.0000 0.0000 0.0000



- Look up the final energy of the second one.
  -17.79 eV for the cell shown